First-principles (PBE+U) data for a relaxed CrInO2 crystal, as listed in the Alexandria database.

Geometry as POSCAR:
```
CrInO2
1.0
7.191 -0.656 -0.010
-0.862 2.926 0.305
-0.991 -2.504 5.173
O In Cr
4 2 2
direct
0.993 0.447 0.910 O
0.669 0.533 0.604 O
0.292 0.248 0.680 O
0.616 0.162 0.985 O
0.327 0.628 0.092 In
0.958 0.067 0.498 In
0.811 0.822 0.967 Cr
0.474 0.873 0.623 Cr
```

Output
- space group = No. 2
- uncorrected energy (eV per cell) = -51.3